Record 1
# BaNdMgIn

A relaxed BaNdMgIn crystal (PBE, Alexandria).

Total energy   -2.942 eV/atom
E_form   -0.74 eV per formula unit
Density   5.175 g/cm³
Space-group type   F-43m (216)

Geometry as POSCAR:
```
BaNdMgIn
1.0
5.758 0.000 0.000
2.879 4.987 0.000
2.879 1.662 4.701
Ba Nd In Mg
1 1 1 1
Direct
0.750 0.750 0.750
0.250 0.250 0.250
0.000 0.000 0.000
0.500 0.500 0.500
```

Record 2
# Hf2BiSb

A relaxed Hf2BiSb crystal (PBE, Alexandria).

Total energy   -7.111 eV/atom
Energy relative to the elements, uncorrected   -0.1336 eV/atom
Density   12.348 g/cm³
Space-group type   Fm-3m (225)

Geometry as POSCAR:
```
Hf2BiSb
1.0
0.000 3.589 3.589
3.589 0.000 3.589
3.589 3.589 0.000
Sb Hf Bi
1 2 1
Direct
0.000 0.000 0.000
0.750 0.750 0.750
0.250 0.250 0.250
0.500 0.500 0.500
```

Record 3
# TiCoNiPt

A relaxed TiCoNiPt crystal (PBE, Alexandria).

Total energy   -7.085 eV/atom
E_form   -1.52 eV per formula unit
Energy relative to the lowest polymorph listed for this composition   20.0 kJ/mol of atoms
Density   11.326 g/cm³
Space-group type   F-43m (216)

Geometry as POSCAR:
```
TiCoNiPt
1.0
4.213 0.000 0.000
2.106 3.648 0.000
2.106 1.216 3.440
Pt Ti Co Ni
1 1 1 1
Direct
0.500 0.500 0.500
0.000 0.000 0.000
0.750 0.750 0.750
0.250 0.250 0.250
```

Record 4
# AcPuPdS4

A relaxed AcPuPdS4 crystal (PBE, Alexandria).

Total energy   -7.093 eV/atom
Energy relative to the elements, uncorrected   -1.3586 eV/atom
Density   7.580 g/cm³
Space-group type   P2_1/m (11)

Geometry as POSCAR:
```
AcPuPdS4
1.0
6.839 0.000 0.025
0.000 5.735 0.000
-2.646 0.000 7.874
Pd S Ac Pu
2 8 2 2
Direct
0.767 0.250 0.696
0.233 0.750 0.304
0.437 0.750 0.597
0.558 0.250 0.879
0.442 0.750 0.121
0.035 0.522 0.733
0.965 0.478 0.267
0.035 0.978 0.733
0.563 0.250 0.403
0.965 0.022 0.267
0.260 0.250 0.063
0.740 0.750 0.937
0.741 0.750 0.440
0.259 0.250 0.560
```

Record 5
# TaNiRh

A relaxed TaNiRh crystal (PBE, Alexandria).

Total energy   -8.576 eV/atom
E_form   -0.74 eV per formula unit
Energy relative to the lowest polymorph listed for this composition   17.2 kJ/mol of atoms
Density   12.652 g/cm³
Space-group type   Ima2 (46)

Geometry as POSCAR:
```
TaNiRh
1.0
-6.959 -1.606 0.044
-3.466 -1.031 -6.262
-2.124 -6.719 -1.621
Rh Ni Ta
6 6 6
Direct
0.358 0.451 0.951
0.759 0.549 0.049
0.267 0.925 0.425
0.616 0.075 0.575
0.922 0.707 0.207
0.835 0.293 0.793
0.226 0.947 0.819
0.992 0.681 0.553
0.226 0.319 0.447
0.992 0.053 0.181
0.463 0.500 0.500
0.463 0.000 0.000
0.174 0.324 0.824
0.597 0.700 0.611
0.323 0.676 0.176
0.908 0.889 0.800
0.597 0.111 0.200
0.908 0.300 0.389
```

Record 6
# US2Cl4

A relaxed US2Cl4 crystal (PBE, Alexandria).

Total energy   -4.928 eV/atom
Energy relative to the elements, uncorrected   -1.0808 eV/atom
Density   2.824 g/cm³
Space-group type   P-1 (2)

Geometry as POSCAR:
```
US2Cl4
1.0
-1.195 2.113 -3.133
1.945 -4.844 -4.221
-8.797 -3.901 3.391
Cl S U
4 2 1
Direct
0.546 0.253 0.107
0.454 0.747 0.893
0.119 0.840 0.208
0.881 0.160 0.792
0.795 0.580 0.509
0.205 0.420 0.491
0.000 0.000 0.000
```